Entry 1:
La4Sm5Tl | PBE-GGA | optimized geometry

## Properties
Size of the total moment, μB per formula unit: 0.0
ΔE_f, eV per atom: 0.073
D(E_F), states/eV per cell: 15.12
Calculated total energy, eV/f.u.: -44.946
Space group: I4mm (107)

abc: 8.2999 8.2999 8.2999
angles: 97.57 97.57 137.44
With the nearest neighbours (Å) after each atom.
Fractional positions:
La: 0.0000 0.3085 0.3085  5 Sm 3.45-3.83, 1 Tl 3.78
La: 0.0000 0.6915 0.6915  5 Sm 3.45-3.83, 1 Tl 3.78
La: 0.3085 0.0000 0.3085  5 Sm 3.45-3.83, 1 Tl 3.78
La: 0.6915 0.0000 0.6915  5 Sm 3.45-3.83, 1 Tl 3.78
Sm: 0.1986 0.1986 0.0000  2 Tl 2.90-3.12
Sm: 0.3054 0.3054 0.6299  1 Tl 3.17, 1 Sm 3.36, 2 La 3.45
Sm: 0.3054 0.6755 0.0000  1 Tl 3.17, 1 Sm 3.36, 2 La 3.45
Sm: 0.6755 0.3054 0.0000  1 Tl 3.17, 1 Sm 3.36, 2 La 3.45
Sm: 0.6755 0.6755 0.3701  1 Tl 3.17, 1 Sm 3.36, 2 La 3.45
Tl: 0.7168 0.7168 0.0000  6 Sm 2.90-3.17



Entry 2:
La4SmTl5 | PBE-GGA | optimized geometry

## Properties
Size of the total moment, μB per formula unit: 0.0
ΔE_f, eV per atom: -0.416
D(E_F), states/eV per cell: 10.58
Calculated total energy, eV/f.u.: -40.421
Space group: P4/mmm (123)

abc: 3.9173 3.9173 20.2292
angles: 90.00 90.00 90.00
With the nearest neighbours (Å) after each atom.
Fractional positions:
La: 0.0000 0.0000 0.1014  8 Tl 3.45-3.46
La: 0.0000 0.0000 0.3048  8 Tl 3.45-3.46
La: 0.0000 0.0000 0.6952  8 Tl 3.45-3.46
La: 0.0000 0.0000 0.8986  8 Tl 3.45-3.46
Sm: 0.0000 0.0000 0.5000  8 Tl 3.34
Tl: 0.5000 0.5000 0.0000  8 La 3.45
Tl: 0.5000 0.5000 0.2035  8 La 3.45-3.46
Tl: 0.5000 0.5000 0.4075  4 Sm 3.34, 4 La 3.46, 1 Tl 3.74
Tl: 0.5000 0.5000 0.5925  4 Sm 3.34, 4 La 3.46, 1 Tl 3.74
Tl: 0.5000 0.5000 0.7965  8 La 3.45-3.46



Entry 3:
La12Sm3Tl | PBE-GGA | optimized geometry

## Properties
Size of the total moment, μB per formula unit: 0.0
ΔE_f, eV per atom: -0.045
D(E_F), states/eV per cell: 23.46
Calculated total energy, eV/f.u.: -76.375
Space group: P4/mmm (123)

abc: 5.1769 5.1769 20.9699
angles: 90.00 90.00 90.00
With the nearest neighbours (Å) after each atom.
Fractional positions:
La: 0.0000 0.0000 0.0000  8 La 3.63, 4 Tl 3.66
La: 0.0000 0.0000 0.2486  4 Sm 3.66, 8 La 3.68-3.72
La: 0.0000 0.0000 0.5000  4 Sm 3.66, 8 La 3.71
La: 0.0000 0.0000 0.7514  4 Sm 3.66, 8 La 3.68-3.72
La: 0.0000 0.5000 0.1214  2 Tl 3.63, 8 La 3.63-3.72, 2 Sm 3.70
La: 0.0000 0.5000 0.3734  8 La 3.66-3.71, 4 Sm 3.70-3.71
La: 0.0000 0.5000 0.6266  8 La 3.66-3.71, 4 Sm 3.70-3.71
La: 0.0000 0.5000 0.8786  2 Tl 3.63, 8 La 3.63-3.72, 2 Sm 3.70
La: 0.5000 0.0000 0.1214  2 Tl 3.63, 8 La 3.63-3.72, 2 Sm 3.70
La: 0.5000 0.0000 0.3734  8 La 3.66-3.71, 4 Sm 3.70-3.71
La: 0.5000 0.0000 0.6266  8 La 3.66-3.71, 4 Sm 3.70-3.71
La: 0.5000 0.0000 0.8786  2 Tl 3.63, 8 La 3.63-3.72, 2 Sm 3.70
Sm: 0.5000 0.5000 0.2476  12 La 3.66-3.70
Sm: 0.5000 0.5000 0.5000  12 La 3.66-3.71
Sm: 0.5000 0.5000 0.7524  12 La 3.66-3.70
Tl: 0.5000 0.5000 0.0000  12 La 3.63-3.66